Below is PmHoMgCo after structural relaxation, with properties calculated at the PBE-GGA level.

## Properties
The density of states at the Fermi level is 2.53 states/eV/cell. Its symmetry is F-43m. The value obtained for the formation energy is 25 meV per atom.

The structure in CIF format:
```
data_PmHoMgCo
_symmetry_space_group_name_H-M 'P 1'
_symmetry_Int_Tables_number 1
_cell_length_a 5.077
_cell_length_b 5.077
_cell_length_c 5.077
_cell_angle_alpha 60.00
_cell_angle_beta 60.00
_cell_angle_gamma 60.00
loop_
_symmetry_equiv_pos_as_xyz
'x,y,z'
loop_
_atom_site_label
_atom_site_type_symbol
_atom_site_fract_x
_atom_site_fract_y
_atom_site_fract_z
_atom_site_occupancy
Pm1 Pm 0.000 0.000 0.000 1
Ho1 Ho 0.500 0.500 0.500 1
Mg1 Mg 0.250 0.250 0.250 1
Co1 Co 0.750 0.750 0.750 1
```


Below is PmHoMgCo after structural relaxation, with properties calculated at the PBE-GGA level.

## Properties
The density of states at the Fermi level is 3.60 states/eV/cell. Its symmetry is P4mm. The value obtained for the formation energy is -97 meV per atom.

The structure in CIF format:
```
data_PmHoMgCo
_symmetry_space_group_name_H-M 'P 1'
_symmetry_Int_Tables_number 1
_cell_length_a 3.435
_cell_length_b 3.435
_cell_length_c 8.142
_cell_angle_alpha 90.00
_cell_angle_beta 90.00
_cell_angle_gamma 90.00
loop_
_symmetry_equiv_pos_as_xyz
'x,y,z'
loop_
_atom_site_label
_atom_site_type_symbol
_atom_site_fract_x
_atom_site_fract_y
_atom_site_fract_z
_atom_site_occupancy
Pm1 Pm 0.000 0.000 0.000 1
Ho1 Ho 0.000 0.000 0.404 1
Mg1 Mg 0.500 0.500 0.693 1
Co1 Co 0.500 0.500 0.214 1
```


Below is PrHoMgCo after structural relaxation, with properties calculated at the PBE-GGA level.

## Properties
The density of states at the Fermi level is 2.63 states/eV/cell. Its symmetry is F-43m. The value obtained for the formation energy is 49 meV per atom.

The structure in CIF format:
```
data_PrHoMgCo
_symmetry_space_group_name_H-M 'P 1'
_symmetry_Int_Tables_number 1
_cell_length_a 5.118
_cell_length_b 5.118
_cell_length_c 5.118
_cell_angle_alpha 60.00
_cell_angle_beta 60.00
_cell_angle_gamma 60.00
loop_
_symmetry_equiv_pos_as_xyz
'x,y,z'
loop_
_atom_site_label
_atom_site_type_symbol
_atom_site_fract_x
_atom_site_fract_y
_atom_site_fract_z
_atom_site_occupancy
Pr1 Pr 0.000 0.000 0.000 1
Ho1 Ho 0.500 0.500 0.500 1
Mg1 Mg 0.250 0.250 0.250 1
Co1 Co 0.750 0.750 0.750 1
```


Below is HoMgCoPt after structural relaxation, with properties calculated at the PBE-GGA level.

## Properties
The density of states at the Fermi level is 2.17 states/eV/cell. Its symmetry is F-43m. The value obtained for the formation energy is -525 meV per atom.

The structure in CIF format:
```
data_HoMgCoPt
_symmetry_space_group_name_H-M 'P 1'
_symmetry_Int_Tables_number 1
_cell_length_a 4.633
_cell_length_b 4.633
_cell_length_c 4.633
_cell_angle_alpha 60.00
_cell_angle_beta 60.00
_cell_angle_gamma 60.00
loop_
_symmetry_equiv_pos_as_xyz
'x,y,z'
loop_
_atom_site_label
_atom_site_type_symbol
_atom_site_fract_x
_atom_site_fract_y
_atom_site_fract_z
_atom_site_occupancy
Ho1 Ho 0.000 0.000 0.000 1
Mg1 Mg 0.500 0.500 0.500 1
Co1 Co 0.250 0.250 0.250 1
Pt1 Pt 0.750 0.750 0.750 1
```


Below is HoMgCoRh after structural relaxation, with properties calculated at the PBE-GGA level.

## Properties
The density of states at the Fermi level is 2.48 states/eV/cell. Its symmetry is F-43m. The value obtained for the formation energy is -348 meV per atom.

The structure in CIF format:
```
data_HoMgCoRh
_symmetry_space_group_name_H-M 'P 1'
_symmetry_Int_Tables_number 1
_cell_length_a 4.566
_cell_length_b 4.566
_cell_length_c 4.566
_cell_angle_alpha 60.00
_cell_angle_beta 60.00
_cell_angle_gamma 60.00
loop_
_symmetry_equiv_pos_as_xyz
'x,y,z'
loop_
_atom_site_label
_atom_site_type_symbol
_atom_site_fract_x
_atom_site_fract_y
_atom_site_fract_z
_atom_site_occupancy
Ho1 Ho 0.000 0.000 0.000 1
Mg1 Mg 0.500 0.500 0.500 1
Co1 Co 0.250 0.250 0.250 1
Rh1 Rh 0.750 0.750 0.750 1
```


Below is HoMgCoRu after structural relaxation, with properties calculated at the PBE-GGA level.

## Properties
The density of states at the Fermi level is 4.69 states/eV/cell. Its symmetry is F-43m. The value obtained for the formation energy is -26 meV per atom.

The structure in CIF format:
```
data_HoMgCoRu
_symmetry_space_group_name_H-M 'P 1'
_symmetry_Int_Tables_number 1
_cell_length_a 4.557
_cell_length_b 4.557
_cell_length_c 4.557
_cell_angle_alpha 60.00
_cell_angle_beta 60.00
_cell_angle_gamma 60.00
loop_
_symmetry_equiv_pos_as_xyz
'x,y,z'
loop_
_atom_site_label
_atom_site_type_symbol
_atom_site_fract_x
_atom_site_fract_y
_atom_site_fract_z
_atom_site_occupancy
Ho1 Ho 0.000 0.000 0.000 1
Mg1 Mg 0.500 0.500 0.500 1
Co1 Co 0.750 0.750 0.750 1
Ru1 Ru 0.250 0.250 0.250 1
```


Below is TbHoMgCo after structural relaxation, with properties calculated at the PBE-GGA level.

## Properties
The density of states at the Fermi level is 3.41 states/eV/cell. Its symmetry is P4mm. The value obtained for the formation energy is -137 meV per atom.

The structure in CIF format:
```
data_TbHoMgCo
_symmetry_space_group_name_H-M 'P 1'
_symmetry_Int_Tables_number 1
_cell_length_a 3.400
_cell_length_b 3.400
_cell_length_c 8.063
_cell_angle_alpha 90.00
_cell_angle_beta 90.00
_cell_angle_gamma 90.00
loop_
_symmetry_equiv_pos_as_xyz
'x,y,z'
loop_
_atom_site_label
_atom_site_type_symbol
_atom_site_fract_x
_atom_site_fract_y
_atom_site_fract_z
_atom_site_occupancy
Tb1 Tb 0.000 0.000 0.000 1
Ho1 Ho 0.000 0.000 0.598 1
Mg1 Mg 0.500 0.500 0.302 1
Co1 Co 0.500 0.500 0.796 1
```


Below is TbHoMgCo after structural relaxation, with properties calculated at the PBE-GGA level.

## Properties
The density of states at the Fermi level is 2.43 states/eV/cell. Its symmetry is F-43m. The value obtained for the formation energy is -8 meV per atom.

The structure in CIF format:
```
data_TbHoMgCo
_symmetry_space_group_name_H-M 'P 1'
_symmetry_Int_Tables_number 1
_cell_length_a 5.019
_cell_length_b 5.019
_cell_length_c 5.019
_cell_angle_alpha 60.00
_cell_angle_beta 60.00
_cell_angle_gamma 60.00
loop_
_symmetry_equiv_pos_as_xyz
'x,y,z'
loop_
_atom_site_label
_atom_site_type_symbol
_atom_site_fract_x
_atom_site_fract_y
_atom_site_fract_z
_atom_site_occupancy
Tb1 Tb 0.000 0.000 0.000 1
Ho1 Ho 0.500 0.500 0.500 1
Mg1 Mg 0.250 0.250 0.250 1
Co1 Co 0.750 0.750 0.750 1
```


Below is HoTmMgCo after structural relaxation, with properties calculated at the PBE-GGA level.

## Properties
The density of states at the Fermi level is 3.23 states/eV/cell. Its symmetry is P4mm. The value obtained for the formation energy is -164 meV per atom.

The structure in CIF format:
```
data_HoTmMgCo
_symmetry_space_group_name_H-M 'P 1'
_symmetry_Int_Tables_number 1
_cell_length_a 3.362
_cell_length_b 3.362
_cell_length_c 8.031
_cell_angle_alpha 90.00
_cell_angle_beta 90.00
_cell_angle_gamma 90.00
loop_
_symmetry_equiv_pos_as_xyz
'x,y,z'
loop_
_atom_site_label
_atom_site_type_symbol
_atom_site_fract_x
_atom_site_fract_y
_atom_site_fract_z
_atom_site_occupancy
Ho1 Ho 0.000 0.000 0.000 1
Tm1 Tm 0.000 0.000 0.600 1
Mg1 Mg 0.500 0.500 0.303 1
Co1 Co 0.500 0.500 0.797 1
```


Below is HoTmMgCo after structural relaxation, with properties calculated at the PBE-GGA level.

## Properties
The density of states at the Fermi level is 2.28 states/eV/cell. Its symmetry is F-43m. The value obtained for the formation energy is -28 meV per atom.

The structure in CIF format:
```
data_HoTmMgCo
_symmetry_space_group_name_H-M 'P 1'
_symmetry_Int_Tables_number 1
_cell_length_a 4.971
_cell_length_b 4.971
_cell_length_c 4.971
_cell_angle_alpha 60.00
_cell_angle_beta 60.00
_cell_angle_gamma 60.00
loop_
_symmetry_equiv_pos_as_xyz
'x,y,z'
loop_
_atom_site_label
_atom_site_type_symbol
_atom_site_fract_x
_atom_site_fract_y
_atom_site_fract_z
_atom_site_occupancy
Ho1 Ho 0.000 0.000 0.000 1
Tm1 Tm 0.500 0.500 0.500 1
Mg1 Mg 0.250 0.250 0.250 1
Co1 Co 0.750 0.750 0.750 1
```


Below is YHoMgCo after structural relaxation, with properties calculated at the PBE-GGA level.

## Properties
The density of states at the Fermi level is 3.26 states/eV/cell. Its symmetry is P4mm. The value obtained for the formation energy is -142 meV per atom.

The structure in CIF format:
```
data_YHoMgCo
_symmetry_space_group_name_H-M 'P 1'
_symmetry_Int_Tables_number 1
_cell_length_a 3.404
_cell_length_b 3.404
_cell_length_c 8.026
_cell_angle_alpha 90.00
_cell_angle_beta 90.00
_cell_angle_gamma 90.00
loop_
_symmetry_equiv_pos_as_xyz
'x,y,z'
loop_
_atom_site_label
_atom_site_type_symbol
_atom_site_fract_x
_atom_site_fract_y
_atom_site_fract_z
_atom_site_occupancy
Y1 Y 0.000 0.000 0.000 1
Ho1 Ho 0.000 0.000 0.404 1
Mg1 Mg 0.500 0.500 0.700 1
Co1 Co 0.500 0.500 0.206 1
```


Below is YHoMgCo after structural relaxation, with properties calculated at the PBE-GGA level.

## Properties
The density of states at the Fermi level is 2.29 states/eV/cell. Its symmetry is F-43m. The value obtained for the formation energy is -15 meV per atom.

The structure in CIF format:
```
data_YHoMgCo
_symmetry_space_group_name_H-M 'P 1'
_symmetry_Int_Tables_number 1
_cell_length_a 5.017
_cell_length_b 5.017
_cell_length_c 5.017
_cell_angle_alpha 60.00
_cell_angle_beta 60.00
_cell_angle_gamma 60.00
loop_
_symmetry_equiv_pos_as_xyz
'x,y,z'
loop_
_atom_site_label
_atom_site_type_symbol
_atom_site_fract_x
_atom_site_fract_y
_atom_site_fract_z
_atom_site_occupancy
Y1 Y 0.000 0.000 0.000 1
Ho1 Ho 0.500 0.500 0.500 1
Mg1 Mg 0.750 0.750 0.750 1
Co1 Co 0.250 0.250 0.250 1
```


Below is HoMnCo after structural relaxation, with properties calculated at the PBE-GGA level.

## Properties
The density of states at the Fermi level is 7.03 states/eV/cell. Its symmetry is Imma. The value obtained for the formation energy is -105 meV per atom.

The structure in CIF format:
```
data_HoMnCo
_symmetry_space_group_name_H-M 'P 1'
_symmetry_Int_Tables_number 1
_cell_length_a 5.112
_cell_length_b 5.112
_cell_length_c 5.112
_cell_angle_alpha 118.95
_cell_angle_beta 117.74
_cell_angle_gamma 92.89
loop_
_symmetry_equiv_pos_as_xyz
'x,y,z'
loop_
_atom_site_label
_atom_site_type_symbol
_atom_site_fract_x
_atom_site_fract_y
_atom_site_fract_z
_atom_site_occupancy
Ho1 Ho 0.370 0.120 0.250 1
Ho2 Ho 0.630 0.880 0.750 1
Mn1 Mn 0.000 0.500 0.500 1
Mn2 Mn 0.500 0.500 0.000 1
Co1 Co 0.000 0.000 0.500 1
Co2 Co 0.000 0.500 0.000 1
```